13
Lattice="4.939 -0.103 2.005 2.258 6.684 0.917 -0.060 -0.052 7.234" Properties=species:S:1:pos:R:3 comment="PrZn3Ag9, relaxed, DFT PBE" dos_at_fermi_per_ev_cell=5.1 e_form_ev_per_atom=-0.120 spacegroup="C2/m (12)" pbc="T T T"
Pr 0.000 0.000 0.000
Zn 3.599 3.290 1.461
Zn -0.030 -0.026 3.617
Zn 2.439 -0.077 4.619
Ag 5.188 5.138 7.776
Ag 1.949 1.392 2.379
Ag 2.996 1.340 6.887
Ag 4.141 5.189 3.269
Ag 4.055 2.212 4.241
Ag 3.082 4.317 5.915
Ag 6.273 4.266 5.141
Ag 0.865 2.264 5.015
Ag 1.129 3.342 0.458

8
Lattice="-3.630 1.321 -1.758 -0.507 -3.805 -1.810 -4.298 -2.687 6.854" Properties=species:S:1:pos:R:3 comment="PrZn6Ag, relaxed, DFT PBE" dos_at_fermi_per_ev_cell=4.8 e_form_ev_per_atom=-0.145 spacegroup="P4/mmm (123)" pbc="T T T"
Pr 0.000 0.000 0.000
Zn -4.756 -1.179 3.811
Zn -3.195 -3.742 3.786
Zn -2.685 -1.628 -0.802
Zn -5.750 -3.544 4.087
Zn -1.610 -2.751 1.259
Zn -3.172 -0.188 1.284
Ag -2.149 -1.344 3.427

10
Lattice="-4.081 0.073 -4.482 0.377 -5.833 -0.437 -4.097 -0.582 4.234" Properties=species:S:1:pos:R:3 comment="PrZnAg3, relaxed, DFT PBE" dos_at_fermi_per_ev_cell=4.1 e_above_lowest_polymorph_kcal_per_mol_atoms=0.00 e_form_ev_per_atom=-0.221 spacegroup="P2_1/m (11)" pbc="T T T"
Pr -5.365 -1.796 -0.300
Pr -2.436 -4.546 -0.385
Zn -2.284 -1.705 1.129
Zn -5.517 -4.638 -1.814
Ag -4.168 -0.054 -3.031
Ag -3.633 -6.289 2.345
Ag -3.982 -2.946 -3.248
Ag -3.820 -3.396 2.562
Ag -2.254 -1.507 -1.477
Ag -5.548 -4.835 0.791

12
Lattice="4.399 0.000 0.000 0.000 5.053 0.000 0.000 0.000 9.378" Properties=species:S:1:pos:R:3 comment="PrZn10Ag, relaxed, DFT PBE" dos_at_fermi_per_ev_cell=3.5 e_form_ev_per_atom=-0.114 spacegroup="Pmmm (47)" pbc="T T T"
Pr 0.000 2.527 4.689
Zn 0.000 0.000 2.760
Zn 0.000 2.527 7.965
Zn 0.000 2.527 1.413
Zn 0.000 0.000 6.618
Zn 2.199 0.000 4.689
Zn 2.199 2.527 0.000
Zn 2.199 1.299 2.434
Zn 2.199 3.754 6.944
Zn 2.199 3.754 2.434
Zn 2.199 1.299 6.944
Ag 0.000 0.000 0.000

5
Lattice="4.029 -0.002 -0.002 -0.001 4.380 -0.004 2.009 2.180 6.116" Properties=species:S:1:pos:R:3 comment="PrZnAg3, relaxed, DFT PBE" dos_at_fermi_per_ev_cell=3.0 e_above_lowest_polymorph_kcal_per_mol_atoms=1.14 e_form_ev_per_atom=-0.172 spacegroup="P1 (1)" pbc="T T T"
Pr 3.430 2.863 5.450
Zn 1.423 5.063 4.168
Ag 3.434 5.058 2.431
Ag 1.417 2.870 2.650
Ag 3.429 2.866 0.643

20
Lattice="-3.857 -3.435 -0.417 2.481 -1.709 -8.864 6.480 -8.085 6.665" Properties=species:S:1:pos:R:3 comment="Pr6ZnAg3, relaxed, DFT PBE" dos_at_fermi_per_ev_cell=19.9 e_form_ev_per_atom=-0.158 spacegroup="P2_1/m (11)" pbc="T T T"
Pr 1.030 -2.624 -3.999
Pr 4.074 -10.605 1.383
Pr 0.352 -2.331 -0.151
Pr 4.752 -10.898 -2.465
Pr 5.269 -7.722 -1.222
Pr -0.165 -5.507 -1.394
Pr 2.899 -5.285 0.624
Pr 2.204 -7.944 -3.240
Pr 3.544 -5.263 -5.516
Pr 1.560 -7.966 2.900
Pr 5.090 -8.227 4.594
Pr 0.014 -5.002 -7.210
Zn 5.460 -7.569 -4.241
Zn -0.356 -5.660 1.625
Ag 2.754 -4.744 -2.486
Ag 2.350 -8.485 -0.130
Ag 4.695 -7.440 1.767
Ag 0.409 -5.789 -4.383
Ag 7.254 -10.036 -0.514
Ag -2.150 -3.193 -2.103

14
Lattice="4.182 0.000 -0.997 0.000 7.503 0.000 0.224 0.000 10.208" Properties=species:S:1:pos:R:3 comment="Pr2Zn2Ag3, relaxed, DFT PBE" dos_at_fermi_per_ev_cell=9.8 e_above_lowest_polymorph_kcal_per_mol_atoms=0.00 e_form_ev_per_atom=-0.234 spacegroup="Cmcm (63)" pbc="T T T"
Pr 0.748 1.876 3.136
Pr 3.658 5.627 6.075
Pr 4.137 1.876 8.083
Pr 0.269 5.627 1.129
Zn 2.968 7.054 3.182
Zn 1.438 0.449 6.030
Zn 1.438 3.302 6.030
Zn 2.968 4.201 3.182
Ag 1.035 5.627 4.340
Ag 3.371 1.876 4.872
Ag 2.385 3.262 0.735
Ag 2.021 4.241 8.477
Ag 2.021 7.013 8.477
Ag 2.385 0.490 0.735

20
Lattice="-3.735 2.173 -3.748 -1.951 -6.469 -6.172 -8.255 -3.499 1.833" Properties=species:S:1:pos:R:3 comment="Pr2Zn3Ag5, relaxed, DFT PBE" dos_at_fermi_per_ev_cell=9.9 e_form_ev_per_atom=-0.210 spacegroup="Ibam (72)" pbc="T T T"
Pr -2.781 -3.767 -3.778
Pr -7.323 -1.420 -2.255
Pr -11.160 -4.028 -4.309
Pr -6.618 -6.375 -5.832
Zn -8.516 -5.521 -3.445
Zn -9.296 -4.946 -6.699
Zn -5.425 -2.274 -4.642
Zn -4.645 -2.849 -1.388
Zn -0.934 0.543 -0.937
Zn -2.801 1.630 -2.811
Ag -9.397 -3.885 -1.619
Ag -7.375 -4.630 -8.431
Ag -4.545 -3.910 -6.469
Ag -6.566 -3.165 0.343
Ag -9.881 -7.063 -5.161
Ag -4.060 -0.732 -2.926
Ag -7.904 -3.354 -4.981
Ag -6.037 -4.441 -3.107
Ag -2.193 -1.819 -1.052
Ag -11.748 -5.976 -7.035

Computed values of total moment (unit: μB/cell) for the preceding records, in sequence: 0.00; 0.00; 0.00; 0.00; 0.00; 0.00; 0.00; 0.00.